[1]
Entry from Alexandria: an optimized crystal structure of CuAg2Hg (PBE).

It has space group P4/mmm (No. 123), with a = 3.0620 Å, b = 3.0620 Å, c = 7.5575 Å, α = 90.00°, β = 90.00° and γ = 90.00°. Symmetry generates all atoms from Cu at (0.0000, 0.0000, 0.0000), Ag at (0.5000, 0.5000, 0.2157) and Hg at (0.0000, 0.0000, 0.5000).

The raw total energy comes out at -9.6 eV/f.u. Its energy of formation is 0.11 eV per atom.

[2]
Entry from Alexandria: an optimized crystal structure of CuAgHg2 (PBE).

It has space group Pm (No. 6), with a = 3.0665 Å, b = 4.6169 Å, c = 5.3672 Å, α = 90.00°, β = 90.22° and γ = 90.00°. Symmetry generates all atoms from Cu at (0.0000, 0.0000, 0.0000), Ag at (0.9993, 0.5000, 0.3179), Hg at (0.4981, 0.5000, 0.8517) and Hg at (0.5000, 0.0000, 0.4890).

The raw total energy comes out at -6.9 eV/f.u. Its energy of formation is 0.17 eV per atom.

[3]
Entry from Alexandria: an optimized crystal structure of CuAg2Hg (PBE).

It has space group Imm2 (No. 44), with a = 3.4754 Å, b = 4.5228 Å, c = 8.9850 Å, α = 90.00°, β = 90.00° and γ = 90.00°. Symmetry generates all atoms from Cu at (0.0000, 0.0000, 0.0000), Ag at (0.0000, 0.0000, 0.5014), Ag at (0.0000, 0.5000, 0.2704) and Hg at (0.0000, 0.5000, 0.7326).

The raw total energy comes out at -9.6 eV/f.u. Its energy of formation is 0.14 eV per atom.

[4]
Entry from Alexandria: an optimized crystal structure of CuAgHg2 (PBE).

It has space group Pmm2 (No. 25), with a = 3.0836 Å, b = 3.1707 Å, c = 7.8695 Å, α = 90.00°, β = 90.00° and γ = 90.00°. Symmetry generates all atoms from Cu at (0.0000, 0.0000, 0.0000), Ag at (0.5000, 0.5000, 0.7966), Hg at (0.0000, 0.0000, 0.5290) and Hg at (0.5000, 0.5000, 0.2183).

The raw total energy comes out at -7.0 eV/f.u. Its energy of formation is 0.15 eV per atom.

[5]
Entry from Alexandria: an optimized crystal structure of Cu2AgHg2 (PBE).

It has space group P4/mbm (No. 127), with a = 7.5786 Å, b = 7.5786 Å, c = 3.1309 Å, α = 90.00°, β = 90.00° and γ = 90.00°. Symmetry generates all atoms from Cu at (0.1496, 0.3504, 0.0000), Ag at (0.0000, 0.0000, 0.5000) and Hg at (0.1493, 0.6493, 0.5000).

The raw total energy comes out at -10.5 eV/f.u. Its energy of formation is 0.22 eV per atom.

[6]
Entry from Alexandria: an optimized crystal structure of CuAg2Hg (PBE).

It has space group P2/m (No. 10), with a = 2.9801 Å, b = 4.3621 Å, c = 5.6265 Å, α = 90.00°, β = 103.51° and γ = 90.00°. Symmetry generates all atoms from Cu at (0.0000, 0.0000, 0.0000), Ag at (0.4197, 0.5000, 0.2316) and Hg at (0.0000, 0.0000, 0.5000).

The raw total energy comes out at -9.5 eV/f.u. Its energy of formation is 0.15 eV per atom.